(1)
PBE-GGA Ho8CdSn2, optimized geometry; E_tot = -4.42 eV per atom; space group = C2/m (12); ΔH_f (0 K) = -0.2825 eV/atom; M_tot = 0.00 μB/atom; crystal system = monoclinic
1.0
9.6316 -2.5355 0.0000
9.6316 2.5355 0.0000
-1.6731 0.0000 6.5587
Ho Cd Sn
8 1 2
Cartesian
-0.0414 0.0000 1.7673
2.7391 0.0000 5.3710
5.7770 0.0000 3.3056
7.8025 0.0000 0.1531
9.7876 0.0000 6.4056
11.8131 0.0000 3.2530
14.8510 0.0000 1.1877
17.6315 0.0000 4.7914
8.7950 0.0000 3.2793
3.0765 0.0000 1.6808
14.5135 0.0000 4.8779

(2)
PBE-GGA Dy2Tl9Pb, optimized geometry; E_tot = -2.96 eV per atom; space group = P4/mmm (123); ΔH_f (0 K) = -0.1087 eV/atom; M_tot = 0.00 μB/atom; crystal system = tetragonal
1.0
4.8472 0.0000 0.0000
0.0000 4.8472 0.0000
0.0000 0.0000 14.5111
Dy Tl Pb
2 9 1
Cartesian
0.0000 0.0000 2.2623
0.0000 0.0000 12.2488
0.0000 2.4236 0.0000
0.0000 2.4236 4.7442
0.0000 2.4236 9.7668
2.4236 0.0000 0.0000
2.4236 0.0000 4.7442
2.4236 0.0000 9.7668
2.4236 2.4236 2.3760
2.4236 2.4236 7.2555
2.4236 2.4236 12.1351
0.0000 0.0000 7.2555

(3)
PBE-GGA Fe2CoCu, optimized geometry; energy above the lowest structure with this stoichiometry = 0.000 eV per atom; E_tot = -6.96 eV per atom; space group = I4/mmm (139); ΔH_f (0 K) = 0.0671 eV/atom; M_tot = 1.71 μB/atom; crystal system = tetragonal
1.0
-1.8127 1.8127 3.5291
1.8127 -1.8127 3.5291
1.8127 1.8127 -3.5291
Fe Co Cu
2 1 1
Cartesian
1.8127 0.0000 1.7646
0.0000 1.8127 1.7646
0.0000 0.0000 0.0000
0.0000 0.0000 3.5291

(4)
PBE-GGA DyHoIr, optimized geometry; energy above the lowest structure with this stoichiometry = 0.074 eV per atom; E_tot = -6.66 eV per atom; space group = P2_1/c (14); ΔH_f (0 K) = -0.6442 eV/atom; M_tot = 0.00 μB/atom; crystal system = monoclinic
1.0
6.9661 0.0000 0.0000
0.0000 6.4391 0.0000
-0.0184 0.0000 7.6338
Dy Ho Ir
4 4 4
Cartesian
0.5392 1.5330 0.8335
0.5300 1.6866 4.6504
6.4177 4.7525 2.9835
6.4085 4.9062 6.8004
2.9396 4.7474 4.6599
2.9488 4.9113 0.8430
3.9989 1.5278 6.7909
4.0081 1.6917 2.9740
1.7386 3.2286 2.6727
1.7294 6.4301 6.4896
5.2183 0.0090 1.1442
5.2091 3.2106 4.9611

(5)
PBE-GGA LiRe2Ir, optimized geometry; E_tot = -8.74 eV per atom; space group = Cmmm (65); ΔH_f (0 K) = 0.1728 eV/atom; M_tot = 0.00 μB/atom; crystal system = orthorhombic
1.0
2.5269 -4.1920 0.0000
2.5269 4.1920 0.0000
0.0000 0.0000 2.6856
Li Re Ir
1 2 1
Cartesian
0.0000 0.0000 0.0000
1.2635 2.0960 1.3428
1.2635 -2.0960 1.3428
2.5269 0.0000 0.0000

(6)
PBE-GGA MnPAuSN, optimized geometry; energy above the lowest structure with this stoichiometry = 0.081 eV per atom; uncorrected formation energy = -0.015 eV/atom; E_tot = -6.08 eV per atom; space group = Cm (8); M_tot = 0.20 μB/atom; crystal system = monoclinic
1.0
7.3560 -1.3636 0.0000
7.3560 1.3636 0.0000
-0.9536 0.0000 4.2366
Mn P Au S N
1 1 1 1 1
Cartesian
0.0000 0.0000 0.0000
7.9588 0.0000 1.7526
10.0975 0.0000 2.7674
12.5800 0.0000 0.3694
6.9857 0.0000 3.1062